Material: LaTm6In
Method: DFT, GGA-PBE
State: relaxed

Summary:
theoretical density = 8.871 Mg/m³
DOS at the Fermi energy = 11.20 states/eV/f.u.
energy relative to the elements = -0.080 eV per atom
crystal system = tetragonal
total energy = -4.39 eV per atom

abc: 4.8691 4.8691 10.0061
angles: 90.00 90.00 90.00
With the nearest neighbours (Å) after each atom.
Fractional positions:
La (0.0000, 0.0000, 0.0000)  12 Tm 3.44-3.57
Tm (0.0000, 0.5000, 0.2610)  2 In 3.41, 8 Tm 3.41-3.57, 2 La 3.57
Tm (0.0000, 0.5000, 0.7390)  2 In 3.41, 8 Tm 3.41-3.57, 2 La 3.57
Tm (0.5000, 0.0000, 0.2610)  2 In 3.41, 8 Tm 3.41-3.57, 2 La 3.57
Tm (0.5000, 0.0000, 0.7390)  2 In 3.41, 8 Tm 3.41-3.57, 2 La 3.57
Tm (0.5000, 0.5000, 0.0000)  4 La 3.44, 8 Tm 3.57
Tm (0.5000, 0.5000, 0.5000)  8 Tm 3.41, 4 In 3.44
In (0.0000, 0.0000, 0.5000)  12 Tm 3.41-3.44